Entry 1:
Here is AgWNF2 at its PBEsol-relaxed geometry from Alexandria. Energies are from meta-GGA SCAN.

Computed properties:
SG: P4/mmm, No. 123
energy relative to the elements, uncorrected: -0.7636 eV/atom
crystal system: tetragonal
total moment: 0.2839 μB per atom

Structure (extended XYZ):
```
5
Lattice="4.107 0.000 0.000 0.000 4.107 0.000 0.000 0.000 3.899" Properties=species:S:1:pos:R:3 pbc="T T T"
Ag 0.000 0.000 0.000
W 2.053 2.053 1.950
N 2.053 2.053 0.000
F 0.000 2.053 1.950
F 2.053 0.000 1.950
```

***

Entry 2:
Here is CsAg2As2 at its PBEsol-relaxed geometry from Alexandria. Energies are from meta-GGA SCAN.

Computed properties:
SG: I4/mmm, No. 139
crystal system: tetragonal
total moment: 0.0000 μB per atom
formation enthalpy at 0 K: -0.07 eV/atom

Structure (extended XYZ):
```
10
Lattice="4.918 0.000 0.000 0.000 4.918 0.000 0.000 0.000 11.791" Properties=species:S:1:pos:R:3 pbc="T T T"
Cs 0.000 0.000 0.000
Cs 2.459 2.459 5.895
Ag 0.000 0.000 3.766
Ag 0.000 0.000 8.025
Ag 2.459 2.459 2.130
Ag 2.459 2.459 9.661
As 0.000 2.459 2.948
As 0.000 2.459 8.843
As 2.459 0.000 2.948
As 2.459 0.000 8.843
```

***

Entry 3:
Here is Rb3LiH at its PBEsol-relaxed geometry from Alexandria. Energies are from meta-GGA SCAN.

Computed properties:
SG: Pm-3m, No. 221
crystal system: cubic
energy: -0.4998 Ha/atom
total moment: 0.0580 μB per atom

Structure (extended XYZ):
```
5
Lattice="6.059 0.000 0.000 0.000 6.059 0.000 0.000 0.000 6.059" Properties=species:S:1:pos:R:3 pbc="T T T"
Rb 0.000 0.000 3.030
Rb 0.000 3.030 0.000
Rb 3.030 0.000 0.000
Li 3.030 3.030 3.030
H 0.000 0.000 0.000
```

***

Entry 4:
Here is Tm2ReB6 at its PBEsol-relaxed geometry from Alexandria. Energies are from meta-GGA SCAN.

Computed properties:
SG: Pbam, No. 55
crystal system: orthorhombic
total moment: 0.0000 μB per atom
formation enthalpy at 0 K: -0.75 eV/atom

Structure (extended XYZ):
```
36
Lattice="9.056 0.000 0.000 0.000 11.399 0.000 0.000 0.000 3.598" Properties=species:S:1:pos:R:3 pbc="T T T"
Tm 0.517 1.478 0.000
Tm 1.608 4.716 0.000
Tm 2.920 10.416 0.000
Tm 4.011 7.178 0.000
Tm 5.045 4.222 0.000
Tm 6.135 0.984 0.000
Tm 7.448 6.683 0.000
Tm 8.539 9.921 0.000
Re 1.256 7.746 0.000
Re 3.272 2.046 0.000
Re 5.784 9.353 0.000
Re 7.800 3.654 0.000
B 0.173 3.284 1.799
B 0.480 6.458 1.799
B 0.899 11.084 1.799
B 1.179 9.293 1.799
B 1.878 2.679 1.799
B 2.264 0.916 1.799
B 2.264 6.616 1.799
B 2.650 8.379 1.799
B 3.349 3.594 1.799
B 3.629 5.384 1.799
B 4.048 0.758 1.799
B 4.355 8.983 1.799
B 4.701 2.416 1.799
B 5.008 10.641 1.799
B 5.427 6.015 1.799
B 5.707 7.806 1.799
B 6.406 3.020 1.799
B 6.792 4.783 1.799
B 6.792 10.483 1.799
B 7.178 8.720 1.799
B 7.877 2.106 1.799
B 8.156 0.315 1.799
B 8.576 4.941 1.799
B 8.883 8.116 1.799
```

***

Entry 5:
Here is LiTa3Fe at its PBEsol-relaxed geometry from Alexandria. Energies are from meta-GGA SCAN.

Computed properties:
SG: Pm-3m, No. 221
crystal system: cubic
total moment: 0.0000 μB per atom
formation enthalpy at 0 K: 0.90 eV/atom

Structure (extended XYZ):
```
5
Lattice="4.560 0.000 0.000 0.000 4.560 0.000 0.000 0.000 4.560" Properties=species:S:1:pos:R:3 pbc="T T T"
Li 0.000 0.000 0.000
Ta 0.000 2.280 2.280
Ta 2.280 0.000 2.280
Ta 2.280 2.280 0.000
Fe 2.280 2.280 2.280
```

***

Entry 6:
Here is ReHg2Rh at its PBEsol-relaxed geometry from Alexandria. Energies are from meta-GGA SCAN.

Computed properties:
SG: Pmmm, No. 47
crystal system: orthorhombic
total moment: 0.0005 μB per atom
formation enthalpy at 0 K: 0.79 eV/atom
energy relative to the lowest polymorph listed for this composition: 0 meV/atom

Structure (extended XYZ):
```
4
Lattice="2.834 0.000 0.000 0.000 4.063 0.000 0.000 0.000 5.765" Properties=species:S:1:pos:R:3 pbc="T T T"
Re 0.000 0.000 0.000
Hg 1.417 2.032 1.459
Hg 1.417 2.032 4.306
Rh 0.000 0.000 2.882
```

***

Entry 7:
Here is CuSiTe at its PBEsol-relaxed geometry from Alexandria. Energies are from meta-GGA SCAN.

Computed properties:
SG: P3m1, No. 156
energy relative to the elements, uncorrected: 0.2755 eV/atom
crystal system: trigonal
total moment: 0.0000 μB per atom
energy relative to the lowest polymorph listed for this composition: 30 meV/atom

Structure (extended XYZ):
```
3
Lattice="3.758 0.000 0.000 -1.879 3.255 0.000 0.000 0.000 4.528" Properties=species:S:1:pos:R:3 pbc="T T T"
Cu 0.000 0.000 0.000
Si 0.000 2.170 3.426
Te 1.879 1.085 1.576
```

***

Entry 8:
Here is Na2Hg2Mo at its PBEsol-relaxed geometry from Alexandria. Energies are from meta-GGA SCAN.

Computed properties:
SG: I4/mmm, No. 139
crystal system: tetragonal
total moment: 0.6673 μB per atom
formation enthalpy at 0 K: 0.60 eV/atom

Structure (extended XYZ):
```
10
Lattice="3.762 0.000 0.000 0.000 3.762 0.000 0.000 0.000 14.851" Properties=species:S:1:pos:R:3 pbc="T T T"
Na 0.000 1.881 3.713
Na 0.000 1.881 11.138
Na 1.881 0.000 3.713
Na 1.881 0.000 11.138
Hg 0.000 0.000 1.392
Hg 0.000 0.000 13.458
Hg 1.881 1.881 6.033
Hg 1.881 1.881 8.817
Mo 0.000 0.000 7.425
Mo 1.881 1.881 0.000
```

***

Entry 9:
Here is InCoP2Cl at its PBEsol-relaxed geometry from Alexandria. Energies are from meta-GGA SCAN.

Computed properties:
SG: P4/mmm, No. 123
energy relative to the elements, uncorrected: 1.0544 eV/atom
crystal system: tetragonal
total moment: 0.6942 μB per atom

Structure (extended XYZ):
```
5
Lattice="4.953 0.000 0.000 0.000 4.953 0.000 0.000 0.000 5.018" Properties=species:S:1:pos:R:3 pbc="T T T"
In 0.000 0.000 0.000
Co 2.476 2.476 2.509
P 0.000 2.476 0.000
P 2.476 0.000 0.000
Cl 0.000 0.000 2.509
```

***

Entry 10:
Here is LiP2Rh at its PBEsol-relaxed geometry from Alexandria. Energies are from meta-GGA SCAN.

Computed properties:
SG: F-43m, No. 216
crystal system: cubic
total moment: 0.0000 μB per atom
formation enthalpy at 0 K: -0.02 eV/atom
energy relative to the lowest polymorph listed for this composition: 462 meV/atom

Structure (extended XYZ):
```
16
Lattice="5.849 0.000 0.000 0.000 5.849 0.000 0.000 0.000 5.849" Properties=species:S:1:pos:R:3 pbc="T T T"
Li 0.000 0.000 0.000
Li 0.000 2.925 2.925
Li 2.925 0.000 2.925
Li 2.925 2.925 0.000
P 0.000 0.000 2.925
P 0.000 2.925 0.000
P 1.462 1.462 1.462
P 1.462 4.387 4.387
P 2.925 0.000 0.000
P 2.925 2.925 2.925
P 4.387 1.462 4.387
P 4.387 4.387 1.462
Rh 1.462 1.462 4.387
Rh 1.462 4.387 1.462
Rh 4.387 1.462 1.462
Rh 4.387 4.387 4.387
```

***

Entry 11:
Here is CdAu2Se at its PBEsol-relaxed geometry from Alexandria. Energies are from meta-GGA SCAN.

Computed properties:
SG: P4/mmm, No. 123
energy relative to the elements, uncorrected: -0.0108 eV/atom
crystal system: tetragonal
total moment: 0.0000 μB per atom
energy relative to the lowest polymorph listed for this composition: 36 meV/atom

Structure (extended XYZ):
```
4
Lattice="3.666 0.000 0.000 0.000 3.666 0.000 0.000 0.000 5.586" Properties=species:S:1:pos:R:3 pbc="T T T"
Cd 0.000 0.000 0.000
Au 1.833 1.833 1.379
Au 1.833 1.833 4.207
Se 0.000 0.000 2.793
```

***

Entry 12:
Here is SmCuTeS at its PBEsol-relaxed geometry from Alexandria. Energies are from meta-GGA SCAN.

Computed properties:
SG: Pbca, No. 61
energy relative to the elements, uncorrected: -1.3571 eV/atom
crystal system: orthorhombic
total moment: 0.0000 μB per atom

Structure (extended XYZ):
```
32
Lattice="7.455 0.000 0.000 0.000 12.482 0.000 0.000 0.000 7.473" Properties=species:S:1:pos:R:3 pbc="T T T"
Sm 1.782 0.851 0.164
Sm 1.782 5.390 3.900
Sm 1.945 7.092 0.164
Sm 1.945 11.631 3.900
Sm 5.509 0.851 3.573
Sm 5.509 5.390 7.310
Sm 5.673 7.092 3.573
Sm 5.673 11.631 7.310
Cu 0.563 2.602 4.981
Cu 0.563 3.639 1.244
Cu 3.165 8.843 4.981
Cu 3.165 9.880 1.244
Cu 4.290 2.602 6.229
Cu 4.290 3.639 2.493
Cu 6.892 8.843 6.229
Cu 6.892 9.880 2.493
Te 1.629 8.639 2.911
Te 1.629 10.085 6.648
Te 2.098 2.397 2.911
Te 2.098 3.844 6.648
Te 5.357 8.639 0.825
Te 5.357 10.085 4.562
Te 5.825 2.397 0.825
Te 5.825 3.844 4.562
S 0.012 0.484 5.522
S 0.012 5.758 1.785
S 3.716 6.725 5.522
S 3.716 11.999 1.785
S 3.739 0.484 5.688
S 3.739 5.758 1.951
S 7.443 6.725 5.688
S 7.443 11.999 1.951
```

***

Entry 13:
Here is YMn2Fe at its PBEsol-relaxed geometry from Alexandria. Energies are from meta-GGA SCAN.

Computed properties:
SG: P4/mmm, No. 123
crystal system: tetragonal
total moment: 0.8501 μB per atom
formation enthalpy at 0 K: 0.38 eV/atom
energy relative to the lowest polymorph listed for this composition: 114 meV/atom

Structure (extended XYZ):
```
4
Lattice="2.983 0.000 0.000 0.000 2.983 0.000 0.000 0.000 6.465" Properties=species:S:1:pos:R:3 pbc="T T T"
Y 0.000 0.000 0.000
Mn 1.491 1.491 2.123
Mn 1.491 1.491 4.342
Fe 0.000 0.000 3.232
```

***

Entry 14:
Here is KCo2Sb at its PBEsol-relaxed geometry from Alexandria. Energies are from meta-GGA SCAN.

Computed properties:
SG: I4_1/amd, No. 141
energy relative to the elements, uncorrected: 0.4050 eV/atom
crystal system: tetragonal
total moment: 0.8881 μB per atom
energy relative to the lowest polymorph listed for this composition: 67 meV/atom

Structure (extended XYZ):
```
16
Lattice="4.788 0.000 0.000 0.000 4.788 0.000 0.000 0.000 17.228" Properties=species:S:1:pos:R:3 pbc="T T T"
K 0.000 1.197 6.461
K 0.000 3.591 10.768
K 2.394 1.197 2.154
K 2.394 3.591 15.075
Co 0.000 0.000 0.000
Co 0.000 2.394 0.000
Co 1.197 1.197 12.921
Co 1.197 3.591 4.307
Co 2.394 0.000 8.614
Co 2.394 2.394 8.614
Co 3.591 1.197 12.921
Co 3.591 3.591 4.307
Sb 0.000 1.197 15.075
Sb 0.000 3.591 2.154
Sb 2.394 1.197 10.768
Sb 2.394 3.591 6.461
```

***

Entry 15:
Here is LiPCl2O at its PBEsol-relaxed geometry from Alexandria. Energies are from meta-GGA SCAN.

Computed properties:
SG: P4/mmm, No. 123
energy relative to the elements, uncorrected: -0.4248 eV/atom
crystal system: tetragonal
total moment: 0.0001 μB per atom

Structure (extended XYZ):
```
5
Lattice="5.468 0.000 0.000 0.000 5.468 0.000 0.000 0.000 3.308" Properties=species:S:1:pos:R:3 pbc="T T T"
Li 0.000 0.000 0.000
P 2.734 2.734 0.000
Cl 0.000 2.734 1.654
Cl 2.734 0.000 1.654
O 2.734 2.734 1.654
```

***

Entry 16:
Here is GaSnOsF2 at its PBEsol-relaxed geometry from Alexandria. Energies are from meta-GGA SCAN.

Computed properties:
SG: P4/mmm, No. 123
energy relative to the elements, uncorrected: -0.3634 eV/atom
crystal system: tetragonal
total moment: 0.0000 μB per atom

Structure (extended XYZ):
```
5
Lattice="4.062 0.000 0.000 0.000 4.062 0.000 0.000 0.000 5.367" Properties=species:S:1:pos:R:3 pbc="T T T"
Ga 0.000 0.000 0.000
Sn 2.031 2.031 0.000
Os 2.031 2.031 2.684
F 0.000 2.031 2.684
F 2.031 0.000 2.684
```

***

Entry 17:
Here is CuSI at its PBEsol-relaxed geometry from Alexandria. Energies are from meta-GGA SCAN.

Computed properties:
SG: Cm, No. 8
energy relative to the elements, uncorrected: -0.0138 eV/atom
crystal system: monoclinic
total moment: 0.0000 μB per atom

Structure (extended XYZ):
```
6
Lattice="6.778 0.000 0.000 0.000 3.730 0.000 -1.721 0.000 5.360" Properties=species:S:1:pos:R:3 pbc="T T T"
Cu 0.000 0.000 0.000
Cu 3.389 1.865 0.000
S 0.497 0.000 5.041
S 3.886 1.865 5.041
I 1.234 0.000 2.402
I 4.623 1.865 2.402
```

***

Entry 18:
Here is BaSrAgI2 at its PBEsol-relaxed geometry from Alexandria. Energies are from meta-GGA SCAN.

Computed properties:
SG: P4/mmm, No. 123
energy relative to the elements, uncorrected: -0.4660 eV/atom
crystal system: tetragonal
total moment: 0.1904 μB per atom

Structure (extended XYZ):
```
5
Lattice="6.017 0.000 0.000 0.000 6.017 0.000 0.000 0.000 8.260" Properties=species:S:1:pos:R:3 pbc="T T T"
Ba 0.000 0.000 0.000
Sr 0.000 0.000 4.130
Ag 3.009 3.009 0.000
I 0.000 3.009 4.130
I 3.009 0.000 4.130
```

***

Entry 19:
Here is Sr2TaCr at its PBEsol-relaxed geometry from Alexandria. Energies are from meta-GGA SCAN.

Computed properties:
SG: Pmmm, No. 47
crystal system: orthorhombic
total moment: 0.8231 μB per atom
formation enthalpy at 0 K: 1.09 eV/atom
energy relative to the lowest polymorph listed for this composition: 392 meV/atom

Structure (extended XYZ):
```
4
Lattice="3.203 0.000 0.000 0.000 5.129 0.000 0.000 0.000 6.333" Properties=species:S:1:pos:R:3 pbc="T T T"
Sr 0.000 0.000 1.576
Sr 0.000 0.000 4.757
Ta 1.601 2.565 0.000
Cr 1.601 2.565 3.166
```

***

Entry 20:
Here is Zr2PbW at its PBEsol-relaxed geometry from Alexandria. Energies are from meta-GGA SCAN.

Computed properties:
SG: P4/mmm, No. 123
crystal system: tetragonal
total moment: 0.0000 μB per atom
formation enthalpy at 0 K: -0.14 eV/atom

Structure (extended XYZ):
```
4
Lattice="3.507 0.000 0.000 0.000 3.507 0.000 0.000 0.000 6.600" Properties=species:S:1:pos:R:3 pbc="T T T"
Zr 0.000 0.000 1.511
Zr 0.000 0.000 5.089
Pb 1.754 1.754 3.300
W 1.754 1.754 0.000
```